one:
The following is a DFT calculation (PBE) of a relaxed PH4Br2 crystal.

Lattice parameters (Å, degrees): 5.8141 6.8879 7.4389 90.00 112.83 90.00
Positions (direct):
P1 0.1365 0.2500 0.2590
P2 0.8635 0.7500 0.7410
H1 0.0026 0.5813 0.7395
H2 0.0026 0.9187 0.7395
H3 0.1887 0.2500 0.0878
H4 0.3632 0.2500 0.4265
H5 0.6368 0.7500 0.5735
H6 0.8113 0.7500 0.9122
H7 0.9974 0.0813 0.2605
H8 0.9974 0.4187 0.2605
Br1 0.1806 0.2500 0.7497
Br2 0.3158 0.7500 0.2371
Br3 0.6842 0.2500 0.7629
Br4 0.8194 0.7500 0.2503

## Properties
Its total magnetization is 0.0293 μB/atom.

=====

two:
The following is a DFT calculation (PBE) of a relaxed PH4Br2 crystal.

Lattice parameters (Å, degrees): 5.5915 5.5915 6.8324 125.39 125.39 62.98
Positions (direct):
P1 0.0000 0.0000 0.0000
H1 0.1504 0.7651 0.8437
H2 0.1981 0.1981 0.2304
H3 0.7651 0.1504 0.8437
H4 0.8943 0.8943 0.0745
Br1 0.2779 0.7769 0.5154
Br2 0.7769 0.2779 0.5154

## Properties
Its total magnetization is 0.0292 μB/atom.

=====

It is one that is most stable; the runner-up trails by 2.5 kJ/mol of atoms.

=====

one:
The following is a DFT calculation (PBE) of a relaxed PHS2Br crystal.

Lattice parameters (Å, degrees): 4.9597 4.9597 5.1005 90.00 90.00 90.00
Positions (direct):
P1 0.0000 0.0000 0.0000
H1 0.5000 0.5000 0.0000
S1 0.0000 0.5000 0.5000
S2 0.5000 0.0000 0.5000
Br1 0.0000 0.0000 0.5000

## Properties
Its total magnetization is 0.4882 μB/atom.

=====

two:
The following is a DFT calculation (PBE) of a relaxed PHS2Br crystal.

Lattice parameters (Å, degrees): 3.7079 3.7079 7.2258 90.00 90.00 90.00
Positions (direct):
P1 0.0000 0.0000 0.0000
H1 0.0000 0.0000 0.5000
S1 0.0000 0.5000 0.5000
S2 0.5000 0.0000 0.5000
Br1 0.5000 0.5000 0.0000

## Properties
Its total magnetization is 0.2053 μB/atom.

=====

It is two that is most stable; the runner-up trails by 85.6 kJ/mol of atoms.

=====

one:
The following is a DFT calculation (PBE) of a relaxed PHSe2Br crystal.

Lattice parameters (Å, degrees): 3.9034 3.9034 7.5880 90.00 90.00 90.00
Positions (direct):
P1 0.0000 0.0000 0.0000
H1 0.5000 0.5000 0.5000
Se1 0.0000 0.5000 0.5000
Se2 0.5000 0.0000 0.5000
Br1 0.5000 0.5000 0.0000

## Properties
Its total magnetization is 0.2306 μB/atom.

=====

two:
The following is a DFT calculation (PBE) of a relaxed PHSe2Br crystal.

Lattice parameters (Å, degrees): 4.8001 4.8001 5.3097 90.00 90.00 90.00
Positions (direct):
P1 0.0000 0.0000 0.0000
H1 0.5000 0.5000 0.5000
Se1 0.0000 0.5000 0.0000
Se2 0.5000 0.0000 0.0000
Br1 0.0000 0.0000 0.5000

## Properties
Its total magnetization is 0.1751 μB/atom.

=====

It is one that is most stable; the runner-up trails by 10.0 kJ/mol of atoms.

=====

one:
The following is a DFT calculation (PBE) of a relaxed ZrTeHPbBr crystal.

Lattice parameters (Å, degrees): 5.5054 5.5054 6.9425 102.61 102.61 39.88
Positions (direct):
Zr1 0.0000 0.0000 0.0000
Te1 0.2939 0.2939 0.0456
H1 0.0553 0.0553 0.2901
Pb1 0.6880 0.6880 0.3514
Br1 0.5020 0.5020 0.7033

## Properties
Its total magnetization is 0.0000 μB/atom.

=====

two:
The following is a DFT calculation (PBE) of a relaxed ZrTeHPbBr crystal.

Lattice parameters (Å, degrees): 5.5051 5.5051 8.0934 116.94 116.94 40.58
Positions (direct):
Zr1 0.0000 0.0000 0.0000
Te1 0.3155 0.3155 0.0638
H1 0.1318 0.1318 0.2692
Pb1 0.6292 0.6292 0.3877
Br1 0.4673 0.4673 0.7304

## Properties
Its total magnetization is 0.0000 μB/atom.

=====

It is one that is most stable; the runner-up trails by 4.9 kJ/mol of atoms.

=====

one:
The following is a DFT calculation (PBE) of a relaxed ZrTeHPbBr crystal.

Lattice parameters (Å, degrees): 3.5359 5.5312 7.6864 95.97 101.05 108.62
Positions (direct):
Zr1 0.0000 0.0000 0.0000
Te1 0.2515 0.5532 0.9398
H1 0.4922 0.0811 0.8826
Pb1 0.2479 0.7936 0.6043
Br1 0.6975 0.1610 0.2794

## Properties
Its total magnetization is 0.0000 μB/atom.

=====

two:
The following is a DFT calculation (PBE) of a relaxed ZrTeHPbBr crystal.

Lattice parameters (Å, degrees): 5.4759 5.4759 7.5689 110.84 110.84 39.19
Positions (direct):
Zr1 0.0000 0.0000 0.0000
Te1 0.6983 0.6983 0.9495
H1 0.4331 0.4331 0.0182
Pb1 0.3965 0.3965 0.5937
Br1 0.0682 0.0682 0.3739

## Properties
Its total magnetization is 0.0000 μB/atom.

=====

three:
The following is a DFT calculation (PBE) of a relaxed ZrTeHPbBr crystal.

Lattice parameters (Å, degrees): 3.5200 4.9530 7.2900 83.47 89.88 89.98
Positions (direct):
Zr1 0.0000 0.0000 0.0000
Te1 0.5002 0.5091 0.0352
H1 0.5011 0.0300 0.8456
Pb1 0.5085 0.3919 0.6324
Br1 0.9993 0.9668 0.3625

## Properties
Its total magnetization is 0.0000 μB/atom.

=====

four:
The following is a DFT calculation (PBE) of a relaxed ZrTeHPbBr crystal.

Lattice parameters (Å, degrees): 3.6371 3.6407 10.3578 87.17 89.15 60.05
Positions (direct):
Zr1 0.0000 0.0000 0.0000
Te1 0.6593 0.6977 0.8034
H1 0.3332 0.3345 0.9966
Pb1 0.3224 0.3688 0.5256
Br1 0.6740 0.6361 0.1879

## Properties
Its total magnetization is 0.0000 μB/atom.

=====

It is four that is most stable; the runner-up trails by 9.9 kJ/mol of atoms.

=====

one:
The following is a DFT calculation (PBE) of a relaxed ZrTeHPbBr crystal.

Lattice parameters (Å, degrees): 3.5406 5.5500 7.4379 101.03 90.17 108.60
Positions (direct):
Zr1 0.0000 0.0000 0.0000
Te1 0.2765 0.5538 0.9465
H1 0.5366 0.0749 0.8784
Pb1 0.3838 0.7741 0.5981
Br1 0.5893 0.1754 0.2845

## Properties
Its total magnetization is 0.0000 μB/atom.

=====

two:
The following is a DFT calculation (PBE) of a relaxed ZrTeHPbBr crystal.

Lattice parameters (Å, degrees): 3.9152 5.9652 6.8060 107.54 90.49 106.39
Positions (direct):
Zr1 0.0000 0.0000 0.0000
Te1 0.5720 0.1217 0.3263
H1 0.8882 0.2381 0.8861
Pb1 0.6124 0.4707 0.0567
Br1 0.3573 0.7261 0.7256

## Properties
Its total magnetization is 0.0000 μB/atom.

=====

three:
The following is a DFT calculation (PBE) of a relaxed ZrTeHPbBr crystal.

Lattice parameters (Å, degrees): 3.6441 3.6502 10.5955 98.86 90.23 119.94
Positions (direct):
Zr1 0.0000 0.0000 0.0000
Te1 0.3930 0.7816 0.1918
H1 0.6667 0.3332 0.9994
Pb1 0.4977 0.9788 0.4941
Br1 0.2750 0.5542 0.8109

## Properties
Its total magnetization is 0.0000 μB/atom.

=====

It is three that is most stable; the runner-up trails by 10.9 kJ/mol of atoms.